Cu2PBr | PBE | optimized geometry

a b c (Å): 3.3455 6.4101 7.1891
angles (deg): 90.00 90.00 90.00
Space group Cmmm (No. 65)
Symmetry-distinct sites (fractional):
Cu: 0.0000 0.0000 0.2175 [4 per cell]
P: 0.0000 0.5000 0.0000 [2 per cell]
Br: 0.0000 0.5000 0.5000 [2 per cell]

uncorrected formation energy: 0.2424 eV per atom
theoretical density: 5.13 Mg/m³
crystal system: orthorhombic
energy above the most stable polymorph in this dataset: 255 meV/atom

LaZn2PI | PBE | optimized geometry

a b c (Å): 6.1422 6.1422 6.1101
angles (deg): 90.00 90.00 90.00
Space group P4/mmm (No. 123)
Symmetry-distinct sites (fractional):
La: 0.0000 0.0000 0.0000 [1 per cell]
Zn: 0.0000 0.5000 0.0000 [2 per cell]
P: 0.5000 0.5000 0.5000 [1 per cell]
I: 0.0000 0.0000 0.5000 [1 per cell]

uncorrected formation energy: 0.7300 eV per atom
theoretical density: 3.08 Mg/m³
crystal system: tetragonal

PmSm2Pb | PBE | optimized geometry

a b c (Å): 3.6605 3.6605 33.7581
angles (deg): 90.00 90.00 120.00
Space group R3m (No. 160, hexagonal axes)
Symmetry-distinct sites (fractional):
Pm: 0.0000 0.0000 0.0000 [3 per cell]
Sm: 0.0000 0.0000 0.2458 [3 per cell]
Sm: 0.0000 0.0000 0.4206 [3 per cell]
Pb: 0.0000 0.0000 0.8336 [3 per cell]

calculated formation energy: -153.6 meV per atom
theoretical density: 8.30 Mg/m³
crystal system: trigonal
energy above the most stable polymorph in this dataset: 172 meV/atom

no.,total DFT energy (no corrections) (eV/atom)
1,-3.5764
2,-2.1571
3,-4.6279